{"formula": "Zr2ScAg", "functional": "GGA-PBEsol", "state": "optimized geometry", "cell": [[3.0270, 0.0000, 0.0000], [0.0000, 5.2699, 0.0000], [-0.5630, 0.0000, 5.1564]], "species": ["Zr", "Zr", "Sc", "Ag"], "frac_coords": [[0.2106, 0.0000, 0.2533], [0.7894, 0.0000, 0.7467], [0.5000, 0.5000, 0.0000], [0.0000, 0.5000, 0.5000]], "dft_energy_ev_per_atom": -6.995, "de_polymorph_mev_per_atom": 140, "total_magnetization_mub_per_atom": 0.000, "space_group": "P2/m, No. 10", "delta_e_f_ev_per_atom": 0.029}